Version w
GGA-PBE HfReNi2, optimized geometry; magnetization = 1.211 μB/f.u.; DOS at the Fermi energy = 1.45 states/eV per atom
1.0
0.000 3.061 3.061
3.061 0.000 3.061
3.061 3.061 0.000
Hf Re Ni
1 1 2
Direct
0.000 0.000 0.000
0.500 0.500 0.500
0.250 0.250 0.250
0.750 0.750 0.750

***

Version x
GGA-PBE HfReNi2, optimized geometry; magnetization = 0.000 μB/f.u.; DOS at the Fermi energy = 0.88 states/eV per atom
1.0
-1.914 1.914 8.685
1.914 -1.914 8.685
1.914 1.914 -8.685
Hf Re Ni
2 2 4
Direct
0.000 0.000 0.000
0.750 0.250 0.500
0.250 0.750 0.500
0.500 0.500 0.000
0.153 0.625 0.028
0.375 0.403 0.528
0.597 0.125 0.972
0.875 0.847 0.472

***

Least stable: version x

***

Version w
GGA-PBE Hf4NiRh, optimized geometry; magnetization = 0.000 μB/f.u.; DOS at the Fermi energy = 0.88 states/eV per atom
1.0
0.000 6.093 6.093
6.093 0.000 6.093
6.093 6.093 0.000
Hf Ni Rh
16 4 4
Direct
0.186 0.186 0.814
0.186 0.814 0.186
0.186 0.814 0.814
0.391 0.391 0.391
0.391 0.391 0.827
0.391 0.827 0.391
0.554 0.554 0.946
0.554 0.946 0.554
0.554 0.946 0.946
0.814 0.186 0.186
0.814 0.186 0.814
0.814 0.814 0.186
0.827 0.391 0.391
0.946 0.554 0.554
0.946 0.554 0.946
0.946 0.946 0.554
0.185 0.605 0.605
0.605 0.185 0.605
0.605 0.605 0.185
0.605 0.605 0.605
0.165 0.165 0.165
0.165 0.165 0.504
0.165 0.504 0.165
0.504 0.165 0.165

***

Version x
GGA-PBE Hf4NiRh, optimized geometry; magnetization = 0.000 μB/f.u.; DOS at the Fermi energy = 1.52 states/eV per atom
1.0
-3.230 3.230 2.695
3.230 -3.230 2.695
3.230 3.230 -2.695
Hf Ni Rh
4 1 1
Direct
0.085 0.585 0.171
0.415 0.915 0.829
0.585 0.415 0.500
0.915 0.085 0.500
0.000 0.000 0.000
0.500 0.500 0.000

***

Version y
GGA-PBE Hf4NiRh, optimized geometry; magnetization = 0.000 μB/f.u.; DOS at the Fermi energy = 1.11 states/eV per atom
1.0
7.101 -1.591 0.000
7.101 1.591 0.000
-2.093 0.000 5.070
Hf Ni Rh
4 1 1
Direct
0.154 0.154 0.492
0.345 0.345 0.015
0.655 0.655 0.985
0.846 0.846 0.508
0.500 0.500 0.500
0.000 0.000 0.000

***

Least stable: version y

***

Version w
GGA-PBE HfNi3Rh, optimized geometry; magnetization = 1.824 μB/f.u.; DOS at the Fermi energy = 1.78 states/eV per atom
1.0
4.442 0.000 0.000
0.000 4.442 0.000
0.000 0.000 4.442
Hf Ni Rh
1 3 1
Direct
0.000 0.000 0.000
0.000 0.500 0.500
0.500 0.000 0.500
0.500 0.500 0.000
0.500 0.500 0.500

***

Version x
GGA-PBE HfNi3Rh, optimized geometry; magnetization = 0.000 μB/f.u.; DOS at the Fermi energy = 0.96 states/eV per atom
1.0
4.439 0.000 0.000
0.000 4.439 0.000
0.000 0.000 4.439
Hf Ni Rh
1 3 1
Direct
0.000 0.000 0.000
0.000 0.000 0.500
0.000 0.500 0.000
0.500 0.000 0.000
0.500 0.500 0.500

***

Least stable: version x

***

Version w
GGA-PBE HfZnNiRh, optimized geometry; magnetization = 0.000 μB/f.u.; DOS at the Fermi energy = 0.34 states/eV per atom
1.0
-2.052 2.052 3.522
2.052 -2.052 3.522
2.052 2.052 -3.522
Hf Zn Ni Rh
1 1 1 1
Direct
0.000 0.000 0.000
0.500 0.500 0.000
0.750 0.250 0.500
0.250 0.750 0.500

***

Version x
GGA-PBE HfZnNiRh, optimized geometry; magnetization = 0.000 μB/f.u.; DOS at the Fermi energy = 0.73 states/eV per atom
1.0
0.000 3.102 3.102
3.102 0.000 3.102
3.102 3.102 0.000
Hf Zn Ni Rh
1 1 1 1
Direct
0.000 0.000 0.000
0.500 0.500 0.500
0.250 0.250 0.250
0.750 0.750 0.750

***

Least stable: version x

***

Version w
GGA-PBE HfNiRu3, optimized geometry; magnetization = 4.479 μB/f.u.; DOS at the Fermi energy = 1.80 states/eV per atom
1.0
4.725 0.000 0.000
0.000 4.725 0.000
0.000 0.000 4.725
Hf Ni Ru
1 1 3
Direct
0.000 0.000 0.000
0.500 0.500 0.500
0.000 0.000 0.500
0.000 0.500 0.000
0.500 0.000 0.000

***

Version x
GGA-PBE HfNiRu3, optimized geometry; magnetization = 3.708 μB/f.u.; DOS at the Fermi energy = 1.45 states/eV per atom
1.0
4.424 0.000 0.000
0.000 4.424 0.000
0.000 0.000 4.424
Hf Ni Ru
1 1 3
Direct
0.000 0.000 0.000
0.500 0.500 0.500
0.000 0.500 0.500
0.500 0.000 0.500
0.500 0.500 0.000

***

Least stable: version w

***

Version w
GGA-PBE Hf2NiRu2, optimized geometry; magnetization = 0.000 μB/f.u.; DOS at the Fermi energy = 0.86 states/eV per atom
1.0
6.517 0.000 0.000
0.000 6.517 0.000
0.000 0.000 3.984
Hf Ni Ru
4 2 4
Direct
0.178 0.322 0.000
0.322 0.822 0.000
0.678 0.178 0.000
0.822 0.678 0.000
0.000 0.000 0.500
0.500 0.500 0.500
0.136 0.636 0.500
0.364 0.136 0.500
0.636 0.864 0.500
0.864 0.364 0.500

***

Version x
GGA-PBE Hf2NiRu2, optimized geometry; magnetization = 1.313 μB/f.u.; DOS at the Fermi energy = 1.57 states/eV per atom
1.0
-2.172 2.172 5.279
2.172 -2.172 5.279
2.172 2.172 -5.279
Hf Ni Ru
2 1 2
Direct
0.250 0.750 0.500
0.750 0.250 0.500
0.000 0.000 0.000
0.386 0.386 0.000
0.614 0.614 0.000

***

Least stable: version x

***

Version w
GGA-PBE HfNi3Ru, optimized geometry; magnetization = 1.767 μB/f.u.; DOS at the Fermi energy = 1.16 states/eV per atom
1.0
4.442 0.000 0.000
0.000 4.442 0.000
0.000 0.000 4.442
Hf Ni Ru
1 3 1
Direct
0.000 0.000 0.000
0.000 0.000 0.500
0.000 0.500 0.000
0.500 0.000 0.000
0.500 0.500 0.500

***

Version x
GGA-PBE HfNi3Ru, optimized geometry; magnetization = 1.360 μB/f.u.; DOS at the Fermi energy = 1.34 states/eV per atom
1.0
4.416 0.000 0.000
0.000 4.416 0.000
0.000 0.000 4.416
Hf Ni Ru
1 3 1
Direct
0.000 0.000 0.000
0.000 0.500 0.500
0.500 0.000 0.500
0.500 0.500 0.000
0.500 0.500 0.500

***

Least stable: version w